Density functional theory data (PBE) for crystalline TcGe2IrPd at its relaxed geometry.

abc: 4.5941 5.2515 4.5941
angles: 90.00 90.00 90.00
Last column: nearest neighbours and their distance in Å.
Fractional positions:
Ge1 0.0000 0.0000 0.5000  2 Ir 2.30
Ge2 0.5000 0.0000 0.0000  2 Ir 2.30
Ir1 0.0000 0.0000 0.0000  4 Ge 2.30
Tc1 0.5000 0.5000 0.5000  4 Pd 3.25, 8 Ge 3.49
Pd1 0.0000 0.5000 0.0000  2 Ir 2.63

Calculated total energy (eV per atom): -5.72
Crystal system: tetragonal
Energy of formation from the pure elements (eV/atom): 1.010
Total magnetization (μB per atom): 0.77